## Tl3Cr4AgO14 (GGA-PBEsol)

Data for a geometry-optimized Tl3Cr4AgO14 structure.

Computed properties:
VASP energy ... -7.163 eV/atom
E_form (uncorrected) ... -1451.0 meV per atom

a b c (Å): 7.2464 7.2464 13.4321
angles (deg): 101.75 101.75 91.18
Atoms (fractional coordinates):
1 O 0.7029 0.0136 0.8605
2 O 0.0620 0.6412 0.1590
3 O 0.6412 0.0620 0.6590
4 Tl 0.7517 0.3855 0.0036
5 O 0.7056 0.9913 0.0637
6 O 0.2167 0.0670 0.5363
7 O 0.9913 0.7056 0.5637
8 O 0.6915 0.5655 0.4126
9 Cr 0.8682 0.7278 0.4530
10 O 0.2971 0.9864 0.1395
11 O 0.5670 0.7511 0.2148
12 Ag 0.4388 0.5612 0.7500
13 O 0.8699 0.3843 0.2166
14 Cr 0.0543 0.5357 0.2535
15 Tl 0.3855 0.7517 0.5036
16 O 0.3085 0.4345 0.5874
17 O 0.6157 0.1301 0.2834
18 Cr 0.4643 0.9457 0.2465
19 O 0.0670 0.2167 0.0363
20 O 0.7511 0.5670 0.7148
21 Cr 0.7278 0.8682 0.9530
22 O 0.3588 0.9380 0.3410
23 Tl 0.9619 0.0381 0.2500
24 O 0.5655 0.6915 0.9126
25 O 0.0087 0.2944 0.4363
26 O 0.2944 0.0087 0.9363
27 O 0.3843 0.8699 0.7166
28 Cr 0.2722 0.1318 0.0470
29 Cr 0.5357 0.0543 0.7535
30 Ag 0.5612 0.4388 0.2500
31 O 0.1301 0.6157 0.7834
32 Tl 0.6145 0.2483 0.4964
33 O 0.9330 0.7833 0.9637
34 O 0.9380 0.3588 0.8410
35 Tl 0.2483 0.6145 0.9964
36 Cr 0.1318 0.2722 0.5470
37 O 0.2489 0.4330 0.2852
38 O 0.4345 0.3085 0.0874
39 O 0.4330 0.2489 0.7852
40 O 0.9864 0.2971 0.6395
41 O 0.0136 0.7029 0.3605
42 Cr 0.9457 0.4643 0.7465
43 O 0.7833 0.9330 0.4637
44 Tl 0.0381 0.9619 0.7500

## Cr3AgOs (GGA-PBEsol)

Data for a geometry-optimized Cr3AgOs structure.

Computed properties:
VASP energy ... -6.771 eV/atom
Energy relative to the elements ... 2480 meV per atom

a b c (Å): 4.6243 4.6243 4.6243
angles (deg): 90.00 90.00 90.00
Atoms (fractional coordinates):
1 Cr 0.5000 0.0000 0.0000
2 Cr 0.0000 0.5000 0.0000
3 Cr 0.0000 0.0000 0.5000
4 Ag 0.0000 0.0000 0.0000
5 Os 0.5000 0.5000 0.5000

## CrAgP3 (GGA-PBEsol)

Data for a geometry-optimized CrAgP3 structure.

Computed properties:
VASP energy ... -5.683 eV/atom
Energy relative to the elements ... 503 meV per atom

a b c (Å): 4.3953 4.3953 4.3953
angles (deg): 90.00 90.00 90.00
Atoms (fractional coordinates):
1 P 0.0000 0.5000 0.0000
2 Ag 0.5000 0.5000 0.5000
3 Cr 0.0000 0.0000 0.0000
4 P 0.0000 0.0000 0.5000
5 P 0.5000 0.0000 0.0000

## CrAgP (GGA-PBEsol)

Data for a geometry-optimized CrAgP structure.

Computed properties:
VASP energy ... -6.111 eV/atom
Energy relative to the elements ... 337 meV per atom

a b c (Å): 4.0945 4.0945 4.0945
angles (deg): 60.00 60.00 60.00
Atoms (fractional coordinates):
1 Ag 0.5000 0.5000 0.5000
2 P 0.0000 0.0000 0.0000
3 Cr 0.2500 0.2500 0.2500

## CrAgP4 (GGA-PBEsol)

Data for a geometry-optimized CrAgP4 structure.

Computed properties:
VASP energy ... -5.494 eV/atom
Energy relative to the elements ... 626 meV per atom

a b c (Å): 5.0505 5.0505 5.0505
angles (deg): 60.00 60.00 60.00
Atoms (fractional coordinates):
1 Cr 0.0000 0.0000 0.0000
2 P 0.3786 0.3786 0.3786
3 Ag 0.7500 0.7500 0.7500
4 P 0.3786 0.3786 0.8641
5 P 0.3786 0.8641 0.3786
6 P 0.8641 0.3786 0.3786

## CrAgP2S6 (GGA-PBEsol)

Data for a geometry-optimized CrAgP2S6 structure.

Computed properties:
VASP energy ... -5.493 eV/atom
E_form (uncorrected) ... -349.0 meV per atom

a b c (Å): 5.8581 6.8100 10.4384
angles (deg): 90.00 90.00 105.53
Atoms (fractional coordinates):
1 Ag 0.2500 0.0000 0.5610
2 S 0.0090 0.7802 0.0727
3 S 0.9867 0.2796 0.6017
4 S 0.0213 0.7662 0.7659
5 S 0.5090 0.7802 0.9273
6 S 0.9910 0.2198 0.9273
7 S 0.0133 0.7204 0.3983
8 S 0.4910 0.2198 0.0727
9 S 0.5213 0.7662 0.2341
10 S 0.4787 0.2338 0.7659
11 P 0.7972 0.1679 0.7541
12 Cr 0.7500 0.0000 0.0827
13 P 0.7028 0.8321 0.7541
14 S 0.5133 0.7204 0.6017
15 S 0.4867 0.2796 0.3983
16 Ag 0.7500 0.0000 0.4390
17 P 0.2028 0.8321 0.2459
18 P 0.2972 0.1679 0.2459
19 S 0.9787 0.2338 0.2341
20 Cr 0.2500 0.0000 0.9173

## CrAgP2Se6 (GGA-PBEsol)

Data for a geometry-optimized CrAgP2Se6 structure.

Computed properties:
VASP energy ... -5.031 eV/atom
E_form (uncorrected) ... -206.8 meV per atom

a b c (Å): 6.2643 6.2643 7.0116
angles (deg): 98.10 98.10 119.98
Atoms (fractional coordinates):
1 Se 0.8823 0.5605 0.7516
2 Se 0.0385 0.3995 0.2505
3 Se 0.7567 0.7171 0.2485
4 P 0.9482 0.9483 0.8362
5 Cr 0.6671 0.3329 0.0000
6 Se 0.6005 0.9615 0.7495
7 Se 0.2829 0.2433 0.7515
8 P 0.0517 0.0518 0.1638
9 Se 0.4395 0.1177 0.2484
10 Ag 0.3328 0.6672 0.0000

## CrAgPb2 (GGA-PBEsol)

Data for a geometry-optimized CrAgPb2 structure.

Computed properties:
Relative energy among the computed polymorphs ... 0 meV per atom
VASP energy ... -4.965 eV/atom
Energy relative to the elements ... 423 meV per atom

a b c (Å): 3.5638 4.9385 4.9385
angles (deg): 90.00 90.00 90.00
Atoms (fractional coordinates):
1 Pb 0.0000 0.5000 0.0000
2 Cr 0.5000 0.0000 0.0000
3 Ag 0.5000 0.5000 0.5000
4 Pb 0.0000 0.0000 0.5000

## CrAgPb2 (GGA-PBEsol)

Data for a geometry-optimized CrAgPb2 structure.

Computed properties:
Relative energy among the computed polymorphs ... 11 meV per atom
VASP energy ... -4.954 eV/atom
Energy relative to the elements ... 433 meV per atom

a b c (Å): 4.9939 4.9939 4.9939
angles (deg): 60.00 60.00 60.00
Atoms (fractional coordinates):
1 Cr 0.5000 0.5000 0.5000
2 Pb 0.7500 0.7500 0.7500
3 Pb 0.2500 0.2500 0.2500
4 Ag 0.0000 0.0000 0.0000

## CrAg2Pb2 (GGA-PBEsol)

Data for a geometry-optimized CrAg2Pb2 structure.

Computed properties:
VASP energy ... -4.254 eV/atom
Energy relative to the elements ... 719 meV per atom

a b c (Å): 4.3406 4.3406 7.1617
angles (deg): 107.64 107.64 90.00
Atoms (fractional coordinates):
1 Cr 0.0000 0.0000 0.0000
2 Pb 0.2500 0.7500 0.5000
3 Ag 0.5982 0.5982 0.1963
4 Ag 0.4018 0.4018 0.8037
5 Pb 0.7500 0.2500 0.5000

## CrAg2Pb (GGA-PBEsol)

Data for a geometry-optimized CrAg2Pb structure.

Computed properties:
VASP energy ... -4.811 eV/atom
Energy relative to the elements ... 405 meV per atom

a b c (Å): 3.3038 3.5769 6.4049
angles (deg): 90.00 90.00 90.00
Atoms (fractional coordinates):
1 Ag 0.5000 0.5000 0.2526
2 Pb 0.5000 0.5000 0.7424
3 Ag 0.0000 0.0000 0.0305
4 Cr 0.0000 0.0000 0.4746

## CrAgPt3 (GGA-PBEsol)

Data for a geometry-optimized CrAgPt3 structure.

Computed properties:
VASP energy ... -5.134 eV/atom
Energy relative to the elements ... 1755 meV per atom

a b c (Å): 4.7651 4.7651 4.7651
angles (deg): 90.00 90.00 90.00
Atoms (fractional coordinates):
1 Pt 0.5000 0.0000 0.0000
2 Ag 0.0000 0.0000 0.0000
3 Pt 0.0000 0.0000 0.5000
4 Cr 0.5000 0.5000 0.5000
5 Pt 0.0000 0.5000 0.0000

## CrAgPt2 (GGA-PBEsol)

Data for a geometry-optimized CrAgPt2 structure.

Computed properties:
Relative energy among the computed polymorphs ... 0 meV per atom
VASP energy ... -7.015 eV/atom
Energy relative to the elements ... -145 meV per atom

a b c (Å): 2.7166 2.7166 7.7662
angles (deg): 90.00 90.00 90.00
Atoms (fractional coordinates):
1 Pt 0.0000 0.0000 0.7223
2 Pt 0.0000 0.0000 0.2777
3 Ag 0.5000 0.5000 0.0000
4 Cr 0.5000 0.5000 0.5000

## CrAgPt2 (GGA-PBEsol)

Data for a geometry-optimized CrAgPt2 structure.

Computed properties:
Relative energy among the computed polymorphs ... 236 meV per atom
VASP energy ... -6.780 eV/atom
Energy relative to the elements ... 91 meV per atom

a b c (Å): 2.8086 4.7448 4.8097
angles (deg): 110.09 90.00 90.00
Atoms (fractional coordinates):
1 Pt 0.5000 0.0000 0.5000
2 Pt 0.0000 0.0000 0.0000
3 Ag 0.5000 0.5000 0.0000
4 Cr 0.0000 0.5000 0.5000

## Cr2AgPt (GGA-PBEsol)

Data for a geometry-optimized Cr2AgPt structure.

Computed properties:
VASP energy ... -7.416 eV/atom
Energy relative to the elements ... 273 meV per atom

a b c (Å): 2.6641 4.0451 5.2278
angles (deg): 90.00 104.76 90.00
Atoms (fractional coordinates):
1 Pt 0.0784 0.0000 0.1568
2 Cr 0.8027 0.0000 0.6054
3 Ag 0.4276 0.5000 0.8552
4 Cr 0.6910 0.5000 0.3821

## CrRe2Ag (GGA-PBEsol)

Data for a geometry-optimized CrRe2Ag structure.

Computed properties:
Relative energy among the computed polymorphs ... 64 meV per atom
VASP energy ... -9.487 eV/atom
Energy relative to the elements ... 567 meV per atom

a b c (Å): 3.8052 3.8052 4.7269
angles (deg): 113.73 113.73 90.00
Atoms (fractional coordinates):
1 Cr 0.0000 0.0000 0.0000
2 Re 0.7500 0.2500 0.5000
3 Ag 0.5000 0.5000 0.0000
4 Re 0.2500 0.7500 0.5000

## CrRe2Ag (GGA-PBEsol)

Data for a geometry-optimized CrRe2Ag structure.

Computed properties:
Relative energy among the computed polymorphs ... 0 meV per atom
VASP energy ... -9.551 eV/atom
Energy relative to the elements ... 504 meV per atom

a b c (Å): 2.8681 4.4276 5.2632
angles (deg): 114.87 105.81 90.00
Atoms (fractional coordinates):
1 Cr 0.0000 0.5000 0.0000
2 Ag 0.5000 0.0000 0.0000
3 Re 0.2815 0.2815 0.5630
4 Re 0.7185 0.7185 0.4370

## CrRe2Ag (GGA-PBEsol)

Data for a geometry-optimized CrRe2Ag structure.

Computed properties:
Relative energy among the computed polymorphs ... 87 meV per atom
VASP energy ... -9.464 eV/atom
Energy relative to the elements ... 591 meV per atom

a b c (Å): 4.3536 4.3536 4.3536
angles (deg): 60.00 60.00 60.00
Atoms (fractional coordinates):
1 Ag 0.5000 0.5000 0.5000
2 Cr 0.2500 0.2500 0.2500
3 Re 0.0000 0.0000 0.0000
4 Re 0.7500 0.7500 0.7500

## Cr2ReAg (GGA-PBEsol)

Data for a geometry-optimized Cr2ReAg structure.

Computed properties:
Relative energy among the computed polymorphs ... 48 meV per atom
VASP energy ... -8.831 eV/atom
Energy relative to the elements ... 451 meV per atom

a b c (Å): 2.7694 3.6909 5.4958
angles (deg): 90.00 90.00 90.00
Atoms (fractional coordinates):
1 Cr 0.0000 0.0000 0.1979
2 Re 0.5000 0.5000 0.0000
3 Ag 0.5000 0.5000 0.5000
4 Cr 0.0000 0.0000 0.8021

## Cr2ReAg (GGA-PBEsol)

Data for a geometry-optimized Cr2ReAg structure.

Computed properties:
Relative energy among the computed polymorphs ... 0 meV per atom
VASP energy ... -8.880 eV/atom
Energy relative to the elements ... 402 meV per atom

a b c (Å): 2.6004 2.6004 8.5596
angles (deg): 90.00 90.00 109.45
Atoms (fractional coordinates):
1 Cr 0.0000 0.0000 0.2653
2 Cr 0.0000 0.0000 0.7347
3 Ag 0.5000 0.5000 0.0000
4 Re 0.5000 0.5000 0.5000

## CrAgRh2 (GGA-PBEsol)

Data for a geometry-optimized CrAgRh2 structure.

Computed properties:
VASP energy ... -7.416 eV/atom
Energy relative to the elements ... 42 meV per atom

a b c (Å): 2.6924 2.6924 7.5397
angles (deg): 90.00 90.00 90.00
Atoms (fractional coordinates):
1 Rh 0.0000 0.0000 0.7193
2 Ag 0.5000 0.5000 0.0000
3 Rh 0.0000 0.0000 0.2807
4 Cr 0.5000 0.5000 0.5000

## CrAg2Rh (GGA-PBEsol)

Data for a geometry-optimized CrAg2Rh structure.

Computed properties:
Relative energy among the computed polymorphs ... 0 meV per atom
VASP energy ... -5.937 eV/atom
Energy relative to the elements ... 314 meV per atom

a b c (Å): 3.7766 3.7766 4.1885
angles (deg): 90.00 90.00 90.00
Atoms (fractional coordinates):
1 Cr 0.5000 0.5000 0.5000
2 Ag 0.0000 0.5000 0.0000
3 Ag 0.5000 0.0000 0.0000
4 Rh 0.0000 0.0000 0.5000

## CrAg2Rh (GGA-PBEsol)

Data for a geometry-optimized CrAg2Rh structure.

Computed properties:
Relative energy among the computed polymorphs ... 170 meV per atom
VASP energy ... -5.767 eV/atom
Energy relative to the elements ... 484 meV per atom

a b c (Å): 2.6895 2.6895 9.3239
angles (deg): 81.71 81.71 60.00
Atoms (fractional coordinates):
1 Ag 0.7515 0.7515 0.7456
2 Cr 0.5000 0.5000 0.5000
3 Ag 0.2485 0.2485 0.2544
4 Rh 0.0000 0.0000 0.0000

## CrAgRh2 (GGA-PBEsol)

Data for a geometry-optimized CrAgRh2 structure.

Computed properties:
VASP energy ... -7.081 eV/atom
Energy relative to the elements ... 377 meV per atom

a b c (Å): 3.1706 3.1706 5.6611
angles (deg): 90.00 90.00 90.00
Atoms (fractional coordinates):
1 Ag 0.0000 0.0000 0.5032
2 Rh 0.5000 0.5000 0.2334
3 Cr 0.5000 0.5000 0.7849
4 Rh 0.0000 0.0000 0.9784

## CrAgRh2 (GGA-PBEsol)

Data for a geometry-optimized CrAgRh2 structure.

Computed properties:
VASP energy ... -7.053 eV/atom
Energy relative to the elements ... 404 meV per atom

a b c (Å): 2.7034 4.7508 5.2095
angles (deg): 116.36 103.80 92.64
Atoms (fractional coordinates):
1 Rh 0.0000 0.0000 0.5000
2 Cr 0.0000 0.5000 0.0000
3 Ag 0.5000 0.0000 0.0000
4 Rh 0.5000 0.5000 0.5000

## Tl2CrAgRh (GGA-PBEsol)

Data for a geometry-optimized Tl2CrAgRh structure.

Computed properties:
VASP energy ... -4.485 eV/atom
Energy relative to the elements ... 906 meV per atom

a b c (Å): 4.3017 5.1265 5.1265
angles (deg): 90.00 90.00 90.00
Atoms (fractional coordinates):
1 Rh 0.5000 0.0000 0.0000
2 Ag 0.5000 0.5000 0.5000
3 Cr 0.0000 0.0000 0.0000
4 Tl 0.0000 0.5000 0.0000
5 Tl 0.0000 0.0000 0.5000

## Cr2AgRu (GGA-PBEsol)

Data for a geometry-optimized Cr2AgRu structure.

Computed properties:
VASP energy ... -8.016 eV/atom
Energy relative to the elements ... 476 meV per atom

a b c (Å): 2.8557 4.3450 5.0154
angles (deg): 115.67 106.54 90.00
Atoms (fractional coordinates):
1 Cr 0.0291 0.0291 0.0583
2 Cr 0.7346 0.2346 0.4691
3 Ag 0.2604 0.7604 0.5209
4 Ru 0.4759 0.4759 0.9517